DFT (PBE) results for crystalline TaCuMo2 at its relaxed geometry.

The calculation puts the magnetization at 0.00 μB/f.u. As for the formation enthalpy at 0 K: 0.25 eV/atom.

The structure belongs to space group Pmm2 (No. 25); the cell edges are 2.656, 4.192 and 5.674 Å and the angles 90.00°, 90.00° and 90.00°. The asymmetric unit holds Ta at (0.000, 0.000, 0.000), Cu at (0.500, 0.500, 0.240), Mo at (0.000, 0.000, 0.488) and Mo at (0.500, 0.500, 0.732).



DFT (PBE) results for crystalline Pm8BC3Cl4 at its relaxed geometry.

Its raw formation energy is -1001 meV per atom. The calculation puts the magnetization at 0.00 μB/f.u.

The structure belongs to space group R-3m (No. 166, hexagonal axes); the cell edges are 7.6131, 7.6131 and 21.1068 Å and the angles 90.00°, 90.00° and 120.00°. The asymmetric unit holds Pm at (0.0000, 0.0000, 0.2303), Pm at (0.0054, 0.5027, 0.7682), B at (0.0000, 0.0000, 0.5000), C at (0.0000, 0.5000, 0.5000), Cl at (0.0000, 0.0000, 0.0000) and Cl at (0.0000, 0.5000, 0.0000).



DFT (PBE) results for crystalline Ta2CuNi at its relaxed geometry.

The calculation puts the magnetization at 1.83 μB/f.u. As for the formation enthalpy at 0 K: 0.33 eV/atom.

The structure belongs to space group F-43m (No. 216); the cell edges are 6.251, 6.251 and 6.251 Å and the angles 90.00°, 90.00° and 90.00°. The asymmetric unit holds Ta at (0.000, 0.000, 0.000), Ta at (0.250, 0.250, 0.250), Cu at (0.000, 0.000, 0.500) and Ni at (0.250, 0.250, 0.750).



DFT (PBE) results for crystalline Rb2SiOsBr6 at its relaxed geometry.

Its raw formation energy is -589 meV per atom. The calculation puts the magnetization at 0.00 μB/f.u.

The structure belongs to space group I4/mmm (No. 139); the cell edges are 7.510, 7.510 and 10.601 Å and the angles 90.00°, 90.00° and 90.00°. The asymmetric unit holds Rb at (0.000, 0.500, 0.250), Si at (0.000, 0.000, 0.000), Os at (0.000, 0.000, 0.500), Br at (0.000, 0.000, 0.258) and Br at (0.242, 0.242, 0.500).



DFT (PBE) results for crystalline Ba2TlTe2I2 at its relaxed geometry.

Its raw formation energy is -1197 meV per atom. The calculation puts the magnetization at 0.00 μB/f.u.

The structure belongs to space group I4/mmm (No. 139); the cell edges are 5.955, 5.955 and 18.031 Å and the angles 90.00°, 90.00° and 90.00°. The asymmetric unit holds Ba at (0.000, 0.000, 0.119), Tl at (0.000, 0.000, 0.500), Te at (0.000, 0.500, 0.000) and I at (0.000, 0.000, 0.309).



DFT (PBE) results for crystalline Cd2RuI at its relaxed geometry.

Its raw formation energy is 852 meV per atom. The calculation puts the magnetization at 0.98 μB/f.u.

The structure belongs to space group Fm-3m (No. 225); the cell edges are 7.109, 7.109 and 7.109 Å and the angles 90.00°, 90.00° and 90.00°. The asymmetric unit holds Cd at (0.250, 0.250, 0.250), Ru at (0.000, 0.000, 0.000) and I at (0.000, 0.000, 0.500).